Pm3Cu2Ge6Rh (PBE-GGA, optimized geometry); space group = P-3m1 (164); V = 20.8 Å³ per atom; formation energy = -0.359 eV per atom
1.0
-4.070 -3.663 -2.522
5.215 -2.236 2.036
-3.304 -1.226 7.114
Ge Cu Rh Pm
6 2 1 3
Cartesian
-4.670 -4.264 3.377 Ge
2.511 -2.861 3.252 Ge
-2.391 -5.242 4.267 Ge
0.732 -4.462 2.150 Ge
-2.891 -2.663 4.479 Ge
0.232 -1.883 2.362 Ge
2.031 -2.745 0.708 Cu
-4.190 -4.381 5.920 Cu
-1.652 -0.613 3.557 Rh
-2.170 -3.630 1.569 Pm
0.010 -3.495 5.060 Pm
0.000 0.000 0.000 Pm